No. 1
Here is an optimized crystal structure of YbMg2Sb2 from Alexandria. Energies are from PBE.

a b c (Å): 4.6818 4.6818 7.4858
angles (deg): 90.00 90.00 120.00
Space group P-3m1 (No. 164)
Asymmetric unit:
Yb (0.0000, 0.0000, 0.0000) [1 per cell]
Mg (0.3333, 0.6667, 0.3670) [2 per cell]
Sb (0.3333, 0.6667, 0.7591) [2 per cell]

## Properties
The uncorrected formation energy is -0.699 eV per atom. The value obtained for the magnetic moment is 0.2 μB/cell. The calculation puts the total energy at -16.453 eV for the cell shown.

---

No. 2
Here is an optimized crystal structure of Hf2Ni2As from Alexandria. Energies are from PBE.

a b c (Å): 4.367 4.367 9.627
angles (deg): 90.00 90.00 90.00
Space group I4/mmm (No. 139)
Asymmetric unit:
Hf (0.000, 0.500, 0.250) [4 per cell]
Ni (0.000, 0.000, 0.115) [4 per cell]
As (0.000, 0.000, 0.500) [2 per cell]

## Properties
The formation energy from the elements is -0.094 eV per atom. The value obtained for the magnetic moment is 0.0 μB/cell. The calculation puts the total energy at -73.180 eV for the cell shown.

---

No. 3
Here is an optimized crystal structure of Dy4ZnCu from Alexandria. Energies are from PBE.

a b c (Å): 4.877 4.877 6.947
angles (deg): 90.00 90.00 90.00
Space group P4/mmm (No. 123)
Asymmetric unit:
Dy (0.000, 0.500, 0.244) [4 per cell]
Zn (0.000, 0.000, 0.500) [1 per cell]
Cu (0.500, 0.500, 0.000) [1 per cell]

## Properties
The formation energy from the elements is 0.035 eV per atom. The value obtained for the magnetic moment is 0.0 μB/cell. The calculation puts the total energy at -23.568 eV for the cell shown.

---

No. 4
Here is an optimized crystal structure of AgSb from Alexandria. Energies are from PBE.

a b c (Å): 3.048 8.879 6.908
angles (deg): 90.00 90.00 90.00
Space group Amm2 (No. 38)
Asymmetric unit:
Ag (0.000, 0.000, 0.000) [2 per cell]
Ag (0.500, 0.000, 0.369) [2 per cell]
Sb (0.000, 0.201, 0.669) [4 per cell]

## Properties
The uncorrected formation energy is 0.113 eV per atom. The value obtained for the magnetic moment is 0.0 μB/cell. The calculation puts the total energy at -26.990 eV for the cell shown.

---

No. 5
Here is an optimized crystal structure of Y2ZrMo from Alexandria. Energies are from PBE.

a b c (Å): 8.179 8.179 6.070
angles (deg): 90.00 90.00 90.00
Space group I-42d (No. 122)
Asymmetric unit:
Y (0.213, 0.250, 0.125) [8 per cell]
Zr (0.000, 0.000, 0.500) [4 per cell]
Mo (0.000, 0.000, 0.000) [4 per cell]

## Properties
The formation energy from the elements is 0.749 eV per atom. The value obtained for the magnetic moment is 0.0 μB/cell. The calculation puts the total energy at -117.238 eV for the cell shown.

---

No. 6
Here is an optimized crystal structure of AcTb2Co from Alexandria. Energies are from PBE.

a b c (Å): 3.7940 3.7940 31.4660
angles (deg): 90.00 90.00 120.00
Space group R-3m (No. 166, hexagonal axes)
Asymmetric unit:
Ac (0.0000, 0.0000, 0.0000) [3 per cell]
Tb (0.0000, 0.0000, 0.1192) [6 per cell]
Co (0.0000, 0.0000, 0.5000) [3 per cell]

## Properties
The formation energy from the elements is 0.096 eV per atom. The value obtained for the magnetic moment is 0.0 μB/cell. The calculation puts the total energy at -60.271 eV for the cell shown.